Record 1
A plane-wave DFT calculation with GGA-PBE was carried out for a relaxed structure of MnBe2Tc.

Symmetry ... P4/mmm (123)
Calculated total energy ... -6.80 eV/atom
Mass density ... 6.5 g cm⁻³
D(E_F) ... 2.90 states/eV/f.u.
V ... 43.8 Å³/cell
Polymorph energy (0 for the lowest one) ... 37 kJ/mol of formula units
M_tot ... 3.4 Bohr magnetons per cell
E_form ... -0.22 eV/f.u.

a b c (Å): 3.720 3.720 3.163
angles (deg): 90.00 90.00 90.00
Fractional coordinates of all 4 atoms:
Be 0.000 0.000 0.000
Be 0.500 0.500 0.000
Mn 0.500 0.000 0.500
Tc 0.000 0.500 0.500

---

Record 2
A plane-wave DFT calculation with GGA-PBE was carried out for a relaxed structure of MnBeTc2.

Symmetry ... Pmmm (47)
Calculated total energy ... -8.40 eV/atom
Mass density ... 8.8 g cm⁻³
D(E_F) ... 4.69 states/eV/f.u.
V ... 49.2 Å³/cell
M_tot ... 1.3 Bohr magnetons per cell
E_form ... 0.03 eV/f.u.

a b c (Å): 3.079 2.944 6.181
angles (deg): 61.50 90.00 90.00
Fractional coordinates of all 4 atoms:
Tc 0.000 0.519 0.481
Tc 0.000 0.981 0.019
Mn 0.500 0.750 0.750
Be 0.500 0.250 0.250

---

Copy entry 1 word for word.
A plane-wave DFT calculation with GGA-PBE was carried out for a relaxed structure of MnBe2Tc.

Symmetry ... P4/mmm (123)
Calculated total energy ... -6.80 eV/atom
Mass density ... 6.5 g cm⁻³
D(E_F) ... 2.90 states/eV/f.u.
V ... 43.8 Å³/cell
Polymorph energy (0 for the lowest one) ... 37 kJ/mol of formula units
M_tot ... 3.4 Bohr magnetons per cell
E_form ... -0.22 eV/f.u.

a b c (Å): 3.720 3.720 3.163
angles (deg): 90.00 90.00 90.00
Fractional coordinates of all 4 atoms:
Be 0.000 0.000 0.000
Be 0.500 0.500 0.000
Mn 0.500 0.000 0.500
Tc 0.000 0.500 0.500